Crystalline Pa3W5N12 at its relaxed geometry, computed with GGA-PBE.

The structure in POSCAR format:
```
Pa3W5N12
1.0
-6.388 6.388 6.388
6.388 -6.388 6.388
6.388 6.388 -6.388
Pa W N
12 20 48
direct
0.125 0.250 0.375
0.125 0.375 0.750
0.250 0.375 0.125
0.250 0.875 0.625
0.375 0.125 0.250
0.375 0.750 0.125
0.625 0.250 0.875
0.625 0.875 0.750
0.750 0.125 0.375
0.750 0.625 0.875
0.875 0.625 0.250
0.875 0.750 0.625
0.000 0.000 0.000
0.000 0.000 0.500
0.000 0.500 0.000
0.000 0.500 0.500
0.125 0.750 0.875
0.125 0.875 0.250
0.250 0.125 0.875
0.250 0.625 0.375
0.375 0.250 0.625
0.375 0.625 0.750
0.500 0.000 0.000
0.500 0.000 0.500
0.500 0.500 0.000
0.500 0.500 0.500
0.625 0.375 0.250
0.625 0.750 0.375
0.750 0.375 0.625
0.750 0.875 0.125
0.875 0.125 0.750
0.875 0.250 0.125
0.027 0.206 0.123
0.027 0.320 0.904
0.084 0.706 0.680
0.084 0.877 0.404
0.096 0.623 0.416
0.096 0.973 0.680
0.123 0.027 0.206
0.123 0.596 0.916
0.180 0.206 0.584
0.180 0.473 0.596
0.206 0.123 0.027
0.206 0.584 0.180
0.294 0.320 0.916
0.294 0.473 0.377
0.320 0.904 0.027
0.320 0.916 0.294
0.377 0.294 0.473
0.377 0.584 0.904
0.404 0.084 0.877
0.404 0.820 0.527
0.416 0.096 0.623
0.416 0.820 0.794
0.473 0.377 0.294
0.473 0.596 0.180
0.527 0.404 0.820
0.527 0.623 0.706
0.584 0.180 0.206
0.584 0.904 0.377
0.596 0.180 0.473
0.596 0.916 0.123
0.623 0.416 0.096
0.623 0.706 0.527
0.680 0.084 0.706
0.680 0.096 0.973
0.706 0.527 0.623
0.706 0.680 0.084
0.794 0.416 0.820
0.794 0.877 0.973
0.820 0.527 0.404
0.820 0.794 0.416
0.877 0.404 0.084
0.877 0.973 0.794
0.904 0.027 0.320
0.904 0.377 0.584
0.916 0.123 0.596
0.916 0.294 0.320
0.973 0.680 0.096
0.973 0.794 0.877
```

Calculated values
energy = -10.4678 eV/atom
SG = Ia-3d, No. 230
crystal system = cubic
total moment = 0.0 μB/cell
DOS(E_F) = 12.53 states/eV/f.u.

=====

Crystalline Pa5W2N12 at its relaxed geometry, computed with GGA-PBE.

The structure in POSCAR format:
```
Pa5W2N12
1.0
6.217 -2.960 0.000
6.217 2.960 0.000
-2.202 0.000 7.114
Pa W N
5 2 12
direct
0.000 0.000 0.000
0.311 0.311 0.149
0.312 0.312 0.662
0.688 0.688 0.338
0.689 0.689 0.851
0.234 0.766 0.500
0.766 0.234 0.500
0.001 0.001 0.309
0.091 0.600 0.926
0.103 0.560 0.413
0.400 0.909 0.074
0.440 0.897 0.587
0.498 0.498 0.694
0.502 0.502 0.306
0.560 0.103 0.413
0.600 0.091 0.926
0.897 0.440 0.587
0.909 0.400 0.074
0.999 0.999 0.691
```

Calculated values
energy = -10.4449 eV/atom
SG = C2/m, No. 12
crystal system = monoclinic
total moment = 0.0 μB/cell
DOS(E_F) = 2.79 states/eV/f.u.

=====

Crystalline Pa2ZnWN6 at its relaxed geometry, computed with GGA-PBE.

The structure in POSCAR format:
```
Pa2ZnWN6
1.0
5.256 0.000 0.000
0.000 5.256 0.000
0.000 0.000 5.031
Pa Zn W N
2 1 1 6
direct
0.000 0.500 0.000
0.500 0.000 0.000
0.000 0.000 0.554
0.500 0.500 0.601
0.000 0.000 0.170
0.257 0.257 0.752
0.257 0.743 0.752
0.500 0.500 0.228
0.743 0.257 0.752
0.743 0.743 0.752
```

Calculated values
energy = -9.0753 eV/atom
SG = P4mm, No. 99
crystal system = tetragonal
total moment = 0.0 μB/cell

=====

Crystalline YPaN3 at its relaxed geometry, computed with GGA-PBE.

The structure in POSCAR format:
```
YPaN3
1.0
3.843 -5.581 0.000
3.843 5.581 0.000
0.000 0.000 3.671
Y Pa N
2 2 6
direct
0.000 0.500 0.000
0.500 0.000 0.000
0.000 0.000 0.500
0.500 0.500 0.500
0.123 0.877 0.000
0.176 0.414 0.500
0.414 0.176 0.500
0.586 0.824 0.500
0.824 0.586 0.500
0.877 0.123 0.000
```

Calculated values
energy = -9.3184 eV/atom
SG = Cmmm, No. 65
crystal system = orthorhombic
total moment = 0.3 μB/cell
DOS(E_F) = 2.97 states/eV/f.u.

=====

Crystalline Y2PaN4 at its relaxed geometry, computed with GGA-PBE.

The structure in POSCAR format:
```
Y2PaN4
1.0
5.902 0.000 0.000
0.000 9.801 0.000
0.000 0.000 3.582
Y Pa N
4 2 8
direct
0.061 0.175 0.000
0.439 0.675 0.000
0.561 0.325 0.000
0.939 0.825 0.000
0.000 0.500 0.500
0.500 0.000 0.500
0.155 0.702 0.500
0.238 0.459 0.000
0.262 0.959 0.000
0.345 0.202 0.500
0.655 0.798 0.500
0.738 0.041 0.000
0.762 0.541 0.000
0.845 0.298 0.500
```

Calculated values
energy = -9.4389 eV/atom
SG = Pbam, No. 55
crystal system = orthorhombic
total moment = 1.6 μB/cell
DOS(E_F) = 2.29 states/eV/f.u.

=====

Crystalline YPa6N12 at its relaxed geometry, computed with GGA-PBE.

The structure in POSCAR format:
```
YPa6N12
1.0
5.099 2.944 3.127
-5.099 2.944 3.127
0.000 -5.887 3.127
Y Pa N
1 6 12
direct
0.000 0.000 0.000
0.137 0.293 0.599
0.293 0.599 0.137
0.401 0.863 0.707
0.599 0.137 0.293
0.707 0.401 0.863
0.863 0.707 0.401
0.064 0.331 0.921
0.079 0.936 0.669
0.177 0.588 0.437
0.331 0.921 0.064
0.412 0.563 0.823
0.437 0.177 0.588
0.563 0.823 0.412
0.588 0.437 0.177
0.669 0.079 0.936
0.823 0.412 0.563
0.921 0.064 0.331
0.936 0.669 0.079
```

Calculated values
energy = -10.0648 eV/atom
SG = R-3, No. 148
crystal system = trigonal
total moment = 0.0 μB/cell
DOS(E_F) = 16.93 states/eV/f.u.

=====

> Number 3 is which compound?

Pa2ZnWN6